{
  "formula": "LiGaFe",
  "functional": "GGA-PBE",
  "state": "relaxed",
  "dft_energy_ry_per_atom": -0.28939,
  "lattice_angstrom": [[0.0000, 2.8012, 2.8012], [2.8012, 0.0000, 2.8012], [2.8012, 2.8012, 0.0000]],
  "species": ["Li", "Fe", "Ga"],
  "fractional_positions": [[0.0000, 0.0000, 0.0000], [0.2500, 0.2500, 0.2500], [0.7500, 0.7500, 0.7500]]
}



{
  "formula": "DyErBi",
  "functional": "GGA-PBE",
  "state": "relaxed",
  "dft_energy_ry_per_atom": -0.34239,
  "lattice_angstrom": [[0.0000, 3.6348, 3.6348], [3.6348, 0.0000, 3.6348], [3.6348, 3.6348, 0.0000]],
  "species": ["Dy", "Bi", "Er"],
  "fractional_positions": [[0.2500, 0.2500, 0.2500], [0.0000, 0.0000, 0.0000], [0.7500, 0.7500, 0.7500]]
}



{
  "formula": "LaNd2Nb2C6",
  "functional": "GGA-PBE",
  "state": "relaxed",
  "dft_energy_ry_per_atom": -0.58634,
  "lattice_angstrom": [[-2.0364, 2.0364, 10.9135], [2.0364, -2.0364, 10.9135], [2.0364, 2.0364, -10.9135]],
  "species": ["C", "Nd", "La", "C", "Nb", "Nb", "C", "C", "Nd", "C", "C"],
  "fractional_positions": [[0.4197, 0.9197, 0.5000], [0.1880, 0.1880, 0.0000], [0.0000, 0.0000, 0.0000], [0.5803, 0.0803, 0.5000], [0.3958, 0.3958, 0.0000], [0.6042, 0.6042, 0.0000], [0.3025, 0.3025, 0.0000], [0.0803, 0.5803, 0.5000], [0.8120, 0.8120, 0.0000], [0.6975, 0.6975, 0.0000], [0.9197, 0.4197, 0.5000]]
}



{
  "formula": "Re2AsO4",
  "functional": "GGA-PBE",
  "state": "relaxed",
  "dft_energy_ry_per_atom": -0.54131,
  "lattice_angstrom": [[4.4698, -4.4729, 0.0000], [-4.4698, 0.0000, -4.4729], [4.4698, 4.4729, 0.0000]],
  "species": ["As", "O", "O", "Re", "Re", "O", "O", "O", "O", "As", "Re", "O", "Re", "O"],
  "fractional_positions": [[0.0000, 0.0000, 0.0000], [0.6088, 0.7824, 0.3913], [0.1412, 0.7176, 0.8587], [0.8750, 0.2500, 0.6250], [0.3750, 0.2500, 0.6250], [0.1412, 0.2824, 0.4236], [0.1736, 0.7824, 0.3912], [0.5764, 0.7176, 0.8588], [0.1413, 0.2824, 0.8588], [0.7500, 0.5000, 0.2500], [0.3750, 0.7500, 0.1250], [0.6087, 0.2176, 0.3912], [0.3750, 0.7500, 0.6250], [0.6088, 0.2176, 0.8264]]
}



{
  "formula": "NbFeB4",
  "functional": "GGA-PBE",
  "state": "relaxed",
  "dft_energy_ry_per_atom": -0.58306,
  "lattice_angstrom": [[3.1007, 0.0000, 0.0000], [-1.5504, 2.6853, 0.0000], [0.0000, 0.0000, 5.8929]],
  "species": ["Nb", "B", "B", "Fe", "B", "B"],
  "fractional_positions": [[0.0000, 0.0000, 0.0000], [0.3333, 0.6667, 0.7199], [0.3333, 0.6667, 0.2801], [0.0000, 0.0000, 0.5000], [0.6667, 0.3333, 0.7199], [0.6667, 0.3333, 0.2801]]
}



{
  "formula": "TaTl2Fe",
  "functional": "GGA-PBE",
  "state": "relaxed",
  "dft_energy_ry_per_atom": -0.38944,
  "lattice_angstrom": [[1.0608, -3.5239, 3.1366], [-1.5145, 0.3050, 4.5820], [-3.4860, -2.9469, 1.5954]],
  "species": ["Tl", "Fe", "Tl", "Ta"],
  "fractional_positions": [[0.0000, 0.0000, 0.0000], [0.2500, 0.2500, 0.2500], [0.7500, 0.7500, 0.7500], [0.5000, 0.5000, 0.5000]]
}



Copy entry 2 word for word.
{
  "formula": "DyErBi",
  "functional": "GGA-PBE",
  "state": "relaxed",
  "dft_energy_ry_per_atom": -0.34239,
  "lattice_angstrom": [[0.0000, 3.6348, 3.6348], [3.6348, 0.0000, 3.6348], [3.6348, 3.6348, 0.0000]],
  "species": ["Dy", "Bi", "Er"],
  "fractional_positions": [[0.2500, 0.2500, 0.2500], [0.0000, 0.0000, 0.0000], [0.7500, 0.7500, 0.7500]]
}



Number 2 is which compound?
DyErBi